The following is a PBE calculation of a relaxed structure of NbMo2W4, from Alexandria via LeMat-Bulk.

Summary:
- formation energy from the elements (eV per atom) = 0.4171
- energy above the most stable polymorph in this dataset (kcal/mol of atoms) = 0.000
- E (eV per atom) = -11.52

abc: 3.1216 4.4678 8.6689
angles: 90.00 94.48 90.00
Atoms (fractional coordinates):
Nb 0.0000 0.0000 0.0000
Mo 0.2996 0.5000 0.8706
Mo 0.7004 0.5000 0.1294
W 0.2241 0.5000 0.3769
W 0.7139 0.0000 0.3566
W 0.2861 0.0000 0.6434
W 0.7759 0.5000 0.6231

---

The following is a PBE calculation of a relaxed structure of CeYZn4, from Alexandria via LeMat-Bulk.

Summary:
- formation energy from the elements (eV per atom) = -0.3278
- energy above the most stable polymorph in this dataset (kcal/mol of atoms) = 0.000
- E (eV per atom) = -3.24

abc: 4.5521 5.7034 5.7034
angles: 75.75 66.48 66.48
Atoms (fractional coordinates):
Zn 0.3331 0.4324 0.9014
Zn 0.3331 0.9014 0.4324
Zn 0.6669 0.0986 0.5676
Zn 0.6669 0.5676 0.0986
Y 0.0000 0.0000 0.0000
Ce 0.0000 0.5000 0.5000

---

The following is a PBE calculation of a relaxed structure of LiAgN3, from Alexandria via LeMat-Bulk.

Summary:
- E (eV per atom) = -3.79
- formation energy without anion corrections (eV per formula unit) = 10.804

abc: 4.1172 4.1172 4.1172
angles: 90.00 90.00 90.00
Atoms (fractional coordinates):
N 0.0000 0.5000 0.0000
N 0.5000 0.0000 0.0000
N 0.0000 0.0000 0.5000
Li 0.5000 0.5000 0.5000
Ag 0.0000 0.0000 0.0000

---

The following is a PBE calculation of a relaxed structure of TiAlSe2Br, from Alexandria via LeMat-Bulk.

Summary:
- energy above the most stable polymorph in this dataset (kcal/mol of atoms) = 11.090
- E (eV per atom) = -4.01
- formation energy without anion corrections (eV per formula unit) = 0.223

abc: 4.9367 4.9367 4.8557
angles: 90.00 90.00 90.00
Atoms (fractional coordinates):
Se 0.0000 0.5000 0.0000
Se 0.5000 0.0000 0.0000
Br 0.0000 0.0000 0.5000
Al 0.0000 0.0000 0.0000
Ti 0.5000 0.5000 0.5000

---

The following is a PBE calculation of a relaxed structure of La3PmY7, from Alexandria via LeMat-Bulk.

Summary:
- formation energy from the elements (eV per atom) = 0.1157
- energy above the most stable polymorph in this dataset (kcal/mol of atoms) = 0.000
- E (eV per atom) = -5.77

abc: 6.7677 8.7674 6.6180
angles: 81.54 95.05 80.40
Atoms (fractional coordinates):
Y 0.2938 0.1466 0.4421
Y 0.2226 0.7864 0.7212
Y 0.7328 0.5823 0.9879
Y 0.7774 0.2136 0.2788
Y 0.0000 0.5000 0.5000
Y 0.2672 0.4177 0.0121
Y 0.7062 0.8534 0.5579
La 0.9374 0.1612 0.8025
La 0.5000 0.0000 0.0000
La 0.0626 0.8388 0.1975
Pm 0.5000 0.5000 0.5000

---

The following is a PBE calculation of a relaxed structure of Ca2As4IrPd3, from Alexandria via LeMat-Bulk.

Summary:
- formation energy from the elements (eV per atom) = -0.6714
- E (eV per atom) = -5.38

abc: 4.3174 4.3174 10.3450
angles: 90.00 90.00 90.00
Atoms (fractional coordinates):
Pd 0.0000 0.5000 0.1354
Pd 0.0000 0.0000 0.5000
Pd 0.5000 0.0000 0.8646
Ir 0.5000 0.5000 0.5000
Ca 0.5000 0.0000 0.2529
Ca 0.0000 0.5000 0.7471
As 0.0000 0.0000 0.0000
As 0.0000 0.5000 0.3716
As 0.5000 0.5000 0.0000
As 0.5000 0.0000 0.6284

---

The following is a PBE calculation of a relaxed structure of Tb3Be2GaPt9, from Alexandria via LeMat-Bulk.

Summary:
- formation energy from the elements (eV per atom) = -0.8515
- E (eV per atom) = -6.10

abc: 5.7497 5.7497 9.4411
angles: 90.00 90.00 120.00
Atoms (fractional coordinates):
Pt 0.1650 0.3301 0.3003
Pt 0.5000 0.5000 0.0000
Pt 0.6699 0.8350 0.3003
Pt 0.8350 0.1650 0.6997
Pt 0.1650 0.8350 0.3003
Pt 0.8350 0.6699 0.6997
Pt 0.0000 0.5000 0.0000
Pt 0.5000 0.0000 0.0000
Pt 0.3301 0.1650 0.6997
Be 0.3333 0.6667 0.1517
Be 0.6667 0.3333 0.8483
Tb 0.3333 0.6667 0.6076
Tb 0.0000 0.0000 0.0000
Tb 0.6667 0.3333 0.3924
Ga 0.0000 0.0000 0.5000

---

The following is a PBE calculation of a relaxed structure of BaAg3Se4, from Alexandria via LeMat-Bulk.

Summary:
- E (eV per atom) = -3.51
- formation energy without anion corrections (eV per formula unit) = -3.670

abc: 6.7422 6.7422 6.7422
angles: 95.95 116.63 116.63
Atoms (fractional coordinates):
Se 0.0000 0.5075 0.8909
Se 0.0000 0.8909 0.5075
Se 0.3835 0.4925 0.4925
Se 0.6165 0.1091 0.1091
Ag 0.0000 0.5000 0.5000
Ag 0.5000 0.2500 0.7500
Ag 0.5000 0.7500 0.2500
Ba 0.0000 0.0000 0.0000

---

The following is a PBE calculation of a relaxed structure of AcTb2N, from Alexandria via LeMat-Bulk.

Summary:
- energy above the most stable polymorph in this dataset (kcal/mol of atoms) = 0.000
- E (eV per atom) = -6.13
- formation energy without anion corrections (eV per formula unit) = -2.807

abc: 3.6122 3.6122 9.5862
angles: 79.14 79.14 60.00
Atoms (fractional coordinates):
Tb 0.7857 0.7857 0.6428
Tb 0.2143 0.2143 0.3572
Ac 0.0000 0.0000 0.0000
N 0.5000 0.5000 0.5000

---

The following is a PBE calculation of a relaxed structure of PbNOF2, from Alexandria via LeMat-Bulk.

Summary:
- energy above the most stable polymorph in this dataset (kcal/mol of atoms) = 1.232
- E (eV per atom) = -4.19
- formation energy without anion corrections (eV per formula unit) = -0.214

abc: 4.3765 4.3765 4.2677
angles: 90.00 90.00 90.00
Atoms (fractional coordinates):
F 0.5000 0.0000 0.0000
F 0.0000 0.5000 0.0000
Pb 0.0000 0.0000 0.0000
N 0.5000 0.5000 0.5000
O 0.0000 0.0000 0.5000

---

The following is a PBE calculation of a relaxed structure of Rb5Rh2O5, from Alexandria via LeMat-Bulk.

Summary:
- E (eV per atom) = -4.61
- formation energy without anion corrections (eV per formula unit) = -11.016

abc: 4.0014 7.2516 10.2915
angles: 95.12 90.05 106.29
Atoms (fractional coordinates):
Rh 0.1136 0.1414 0.2658
Rh 0.9630 0.8452 0.7748
O 0.2408 0.3928 0.1877
O 0.8739 0.6665 0.8986
O 0.9003 0.7254 0.6035
O 0.5956 0.1061 0.2750
O 0.0988 0.1108 0.7905
Rb 0.4163 0.7484 0.0828
Rb 0.2776 0.4810 0.7159
Rb 0.8057 0.5200 0.3556
Rb 0.6705 0.2558 0.9975
Rb 0.5439 0.0067 0.5523

---

The following is a PBE calculation of a relaxed structure of As2SeBr, from Alexandria via LeMat-Bulk.

Summary:
- energy above the most stable polymorph in this dataset (kcal/mol of atoms) = 0.134
- E (eV per atom) = -3.65
- formation energy without anion corrections (eV per formula unit) = -0.146

abc: 6.7511 6.7511 5.2129
angles: 81.62 81.62 31.93
Atoms (fractional coordinates):
As 0.3414 0.3414 0.3144
As 0.8976 0.8976 0.9742
Se 0.7505 0.7505 0.7658
Br 0.5104 0.5104 0.4456

---

The following is a PBE calculation of a relaxed structure of LiPuTe2, from Alexandria via LeMat-Bulk.

Summary:
- E (eV per atom) = -6.61
- formation energy without anion corrections (eV per formula unit) = -3.909

abc: 4.3678 4.3678 7.7800
angles: 73.70 73.70 60.00
Atoms (fractional coordinates):
Li 0.4946 0.4946 0.5162
Pu 0.6683 0.6683 0.9952
Te 0.2535 0.2535 0.2395
Te 0.0836 0.0836 0.7491

---

The following is a PBE calculation of a relaxed structure of Sm9Y2Tm3, from Alexandria via LeMat-Bulk.

Summary:
- formation energy from the elements (eV per atom) = 0.2508
- E (eV per atom) = -4.66

abc: 8.9999 8.9999 13.8903
angles: 90.00 90.00 120.00
Atoms (fractional coordinates):
Sm 0.5186 0.6013 0.7500
Sm 0.1324 0.7238 0.9576
Sm 0.4814 0.3987 0.2500
Sm 0.2762 0.4086 0.5424
Sm 0.5914 0.8676 0.5424
Sm 0.8676 0.2762 0.4576
Sm 0.9173 0.5186 0.2500
Sm 0.0827 0.4814 0.7500
Sm 0.4086 0.1324 0.4576
Sm 0.5914 0.8676 0.9576
Sm 0.1324 0.7238 0.5424
Sm 0.7238 0.5914 0.0424
Sm 0.4086 0.1324 0.0424
Sm 0.3987 0.9173 0.7500
Sm 0.7238 0.5914 0.4576
Sm 0.6013 0.0827 0.2500
Sm 0.2762 0.4086 0.9576
Sm 0.8676 0.2762 0.0424
Tm 0.9233 0.7502 0.7500
Tm 0.0767 0.2498 0.2500
Tm 0.7502 0.8269 0.2500
Tm 0.8269 0.0767 0.7500
Tm 0.1731 0.9233 0.2500
Tm 0.2498 0.1731 0.7500
Y 0.6667 0.3333 0.6422
Y 0.6667 0.3333 0.8578
Y 0.3333 0.6667 0.1422
Y 0.3333 0.6667 0.3578

---

The following is a PBE calculation of a relaxed structure of Al2Cu5Au3, from Alexandria via LeMat-Bulk.

Summary:
- formation energy from the elements (eV per atom) = 0.0113
- E (eV per atom) = -3.77

abc: 5.0579 8.3345 8.3345
angles: 95.60 72.34 72.34
Atoms (fractional coordinates):
Cu 0.8718 0.4795 0.7770
Cu 0.9897 0.2603 0.2603
Cu 0.5103 0.7397 0.7397
Cu 0.1282 0.5205 0.2230
Cu 0.0103 0.7397 0.7397
Cu 0.2500 0.5000 0.5000
Cu 0.4897 0.2603 0.2603
Cu 0.6282 0.2230 0.5205
Cu 0.7500 0.5000 0.5000
Cu 0.3718 0.7770 0.4795
Au 0.8855 0.8620 0.3670
Au 0.6145 0.6330 0.1380
Au 0.2500 0.0000 0.0000
Au 0.1145 0.1380 0.6330
Au 0.3855 0.3670 0.8620
Au 0.7500 0.0000 0.0000
Al 0.1446 0.7009 0.0100
Al 0.8554 0.2991 0.9900
Al 0.3554 0.9900 0.2991
Al 0.6446 0.0100 0.7009

---

The following is a PBE calculation of a relaxed structure of Y2MoRhN, from Alexandria via LeMat-Bulk.

Summary:
- E (eV per atom) = -6.56
- formation energy without anion corrections (eV per formula unit) = 6.620

abc: 5.3333 4.4832 5.3333
angles: 90.00 90.00 90.00
Atoms (fractional coordinates):
Rh 0.0000 0.5000 0.0000
Y 0.5000 0.0000 0.0000
Y 0.0000 0.0000 0.5000
Mo 0.0000 0.0000 0.0000
N 0.5000 0.5000 0.5000

---

The following is a PBE calculation of a relaxed structure of La3CoSn, from Alexandria via LeMat-Bulk.

Summary:
- formation energy from the elements (eV per atom) = -0.3463
- energy above the most stable polymorph in this dataset (kcal/mol of atoms) = 2.345
- E (eV per atom) = -5.52

abc: 13.0405 9.6317 9.6317
angles: 88.66 128.14 51.86
Atoms (fractional coordinates):
La 0.5592 0.9715 0.8815
La 0.4588 0.2380 0.3963
La 0.5602 0.5029 0.3242
La 0.0602 0.1758 0.9971
La 0.4398 0.4971 0.6758
La 0.4408 0.0285 0.1185
La 0.5412 0.7620 0.6037
La 0.9588 0.1037 0.2620
La 0.0592 0.6185 0.5285
La 0.9408 0.3815 0.4715
La 0.0412 0.8963 0.7380
La 0.9398 0.8242 0.0029
Sn 0.0796 0.3814 0.2797
Sn 0.9204 0.6186 0.7203
Sn 0.5796 0.2203 0.1186
Sn 0.4204 0.7797 0.8814
Co 0.7500 0.4738 0.9738
Co 0.2500 0.5262 0.0262
Co 0.2500 0.7317 0.2317
Co 0.7500 0.2683 0.7683

---

The following is a PBE calculation of a relaxed structure of RbCr3W, from Alexandria via LeMat-Bulk.

Summary:
- formation energy from the elements (eV per atom) = 3.1086
- energy above the most stable polymorph in this dataset (kcal/mol of atoms) = 37.264
- E (eV per atom) = -5.45

abc: 4.6272 4.6272 4.6272
angles: 90.00 90.00 90.00
Atoms (fractional coordinates):
Cr 0.5000 0.0000 0.0000
Cr 0.0000 0.5000 0.0000
Cr 0.0000 0.0000 0.5000
W 0.5000 0.5000 0.5000
Rb 0.0000 0.0000 0.0000

---

The following is a PBE calculation of a relaxed structure of TaW3Br, from Alexandria via LeMat-Bulk.

Summary:
- energy above the most stable polymorph in this dataset (kcal/mol of atoms) = 0.000
- E (eV per atom) = -8.40
- formation energy without anion corrections (eV per formula unit) = 10.392

abc: 4.5678 4.5678 4.5678
angles: 90.00 90.00 90.00
Atoms (fractional coordinates):
Br 0.0000 0.0000 0.0000
W 0.0000 0.5000 0.0000
W 0.0000 0.0000 0.5000
W 0.5000 0.0000 0.0000
Ta 0.5000 0.5000 0.5000

---

The following is a PBE calculation of a relaxed structure of Pm8AgSe6, from Alexandria via LeMat-Bulk.

Summary:
- E (eV per atom) = -5.41
- formation energy without anion corrections (eV per formula unit) = -19.342

abc: 4.2099 10.8169 10.8169
angles: 120.00 90.00 90.00
Atoms (fractional coordinates):
Se 0.2505 0.3519 0.8685
Se 0.7495 0.6481 0.1315
Se 0.2505 0.1315 0.4834
Se 0.7495 0.8685 0.5166
Se 0.7495 0.4834 0.3519
Se 0.2505 0.5166 0.6481
Pm 0.2496 0.0352 0.7102
Pm 0.2496 0.6667 0.3333
Pm 0.7504 0.9648 0.2898
Pm 0.2496 0.6750 0.9648
Pm 0.2496 0.2898 0.3250
Pm 0.7504 0.7102 0.6750
Pm 0.7504 0.3250 0.0352
Pm 0.7504 0.3333 0.6667
Ag 0.5000 0.0000 0.0000

---

The following is a PBE calculation of a relaxed structure of TaAgP2, from Alexandria via LeMat-Bulk.

Summary:
- formation energy from the elements (eV per atom) = -0.1430
- energy above the most stable polymorph in this dataset (kcal/mol of atoms) = 0.000
- E (eV per atom) = -6.52

abc: 3.2645 3.2704 6.7217
angles: 65.60 90.00 90.00
Atoms (fractional coordinates):
Ta 0.5000 0.2500 0.2500
P 0.0000 0.9195 0.0417
P 0.0000 0.5805 0.4583
Ag 0.5000 0.7500 0.7500

---

The following is a PBE calculation of a relaxed structure of La2H4Rh, from Alexandria via LeMat-Bulk.

Summary:
- E (eV per atom) = -4.89

abc: 3.5367 3.5367 7.7309
angles: 76.78 76.78 90.00
Atoms (fractional coordinates):
Rh 0.0000 0.0000 0.0000
H 0.1893 0.1893 0.6215
H 0.8107 0.8107 0.3785
H 0.5000 0.0000 0.0000
H 0.0000 0.5000 0.0000
La 0.3550 0.3550 0.2900
La 0.6450 0.6450 0.7100

---

The following is a PBE calculation of a relaxed structure of Mg2NbCrN4, from Alexandria via LeMat-Bulk.

Summary:
- E (eV per atom) = -7.72
- formation energy without anion corrections (eV per formula unit) = -5.608

abc: 4.6722 4.6722 5.7679
angles: 113.89 113.89 90.00
Atoms (fractional coordinates):
Mg 0.2500 0.7500 0.5001
Mg 0.7500 0.2500 0.5001
Nb 0.0000 0.0000 0.0001
N 0.6327 0.6327 0.7754
N 0.8574 0.3674 0.2247
N 0.1427 0.1427 0.7754
N 0.3674 0.8574 0.2247
Cr 0.5000 0.5000 0.0001